Entry 1:
Entry from Alexandria: an optimized crystal structure of TaFe3Rh (GGA-PBE).

Cell and atoms, written as POSCAR:
```
TaFe3Rh
1.0
-4.223 1.184 -0.682
-1.290 -2.726 3.257
0.450 3.297 2.938
Fe Rh Ta
3 1 1
Cartesian
-0.645 -1.363 1.629
0.225 1.649 1.469
-2.112 0.592 -0.341
-2.532 0.877 2.757
0.000 0.000 0.000
```

Output
- space group = Pm-3m (221)
- energy relative to the lowest polymorph listed for this composition (eV/atom) = 0.000



Entry 2:
Entry from Alexandria: an optimized crystal structure of GaCu3O (GGA-PBE).

Cell and atoms, written as POSCAR:
```
GaCu3O
1.0
-2.837 0.138 2.881
1.466 -3.411 1.608
2.484 2.172 2.342
Ga Cu O
1 3 1
Cartesian
0.557 -0.551 3.415
-1.419 0.069 1.441
0.733 -1.706 0.804
1.242 1.086 1.171
0.000 0.000 0.000
```

Output
- space group = Pm-3m (221)
- uncorrected formation energy (eV/atom) = -0.017
- energy relative to the lowest polymorph listed for this composition (eV/atom) = 0.000



Entry 3:
Entry from Alexandria: an optimized crystal structure of SbAsCl2 (GGA-PBE).

Cell and atoms, written as POSCAR:
```
SbAsCl2
1.0
8.710 0.038 0.023
7.774 3.928 0.023
7.774 1.870 3.455
Cl Sb As
2 1 1
Cartesian
0.638 0.153 0.092
5.487 1.320 0.792
11.756 2.828 1.696
18.506 4.452 2.670
```

Output
- space group = R3m (160)
- uncorrected formation energy (eV/atom) = -0.112
- energy relative to the lowest polymorph listed for this composition (eV/atom) = 0.323



Entry 4:
Entry from Alexandria: an optimized crystal structure of ErMgGaO4 (GGA-PBE).

Cell and atoms, written as POSCAR:
```
ErMgGaO4
1.0
-0.805 6.025 -1.015
-5.387 2.692 1.544
-0.056 3.953 4.799
O Mg Ga Er
8 2 2 2
Cartesian
-4.688 7.526 1.646
-4.287 6.480 4.447
-1.961 8.148 3.175
-1.510 3.171 1.310
-4.739 9.499 4.018
-1.961 6.190 0.880
-1.560 5.144 3.682
-4.287 4.522 2.152
-0.430 4.989 1.892
-0.028 1.976 2.399
-3.879 5.943 0.933
-2.369 6.727 4.394
0.000 0.000 0.000
-2.722 3.323 3.171
```

Output
- space group = Imma (74)
- uncorrected formation energy (eV/atom) = -2.642